Record 1
{"formula": "Ta5Ni7", "functional": "PBE", "state": "relaxed", "rho_g_cm3": 11.91, "formation_enthalpy_0k_mev_per_atom": 385.7, "lattice_angstrom": [[-2.4232, -1.2331, 4.3067], [-1.7981, -1.6111, -4.4846], [9.0643, -13.5297, 1.2262]], "species": ["Ta", "Ta", "Ta", "Ni", "Ni", "Ta", "Ni", "Ni", "Ni", "Ni", "Ta", "Ni", "Ni", "Ni", "Ta", "Ni", "Ni", "Ta", "Ta", "Ta", "Ni", "Ni", "Ni", "Ta"], "fractional_positions": [[0.3333, 0.6667, 0.3556], [0.5000, 0.0000, 0.0000], [0.5000, 0.5000, 0.5000], [0.3333, 0.6667, 0.8499], [0.8512, 0.1488, 0.7500], [0.6667, 0.3333, 0.8556], [0.0000, 0.0000, 0.4153], [0.8512, 0.7024, 0.7500], [0.2976, 0.1488, 0.7500], [0.1488, 0.2976, 0.2500], [0.6667, 0.3333, 0.6444], [0.1488, 0.8512, 0.2500], [0.0000, 0.0000, 0.5847], [0.3333, 0.6667, 0.6501], [0.5000, 0.0000, 0.5000], [0.6667, 0.3333, 0.3499], [0.0000, 0.0000, 0.0847], [0.5000, 0.5000, 0.0000], [0.3333, 0.6667, 0.1444], [0.0000, 0.5000, 0.0000], [0.7024, 0.8512, 0.2500], [0.6667, 0.3333, 0.1501], [0.0000, 0.0000, 0.9153], [0.0000, 0.5000, 0.5000]]}

Record 2
{"formula": "Ta8Ni7", "functional": "PBE", "state": "relaxed", "rho_g_cm3": 13.89, "formation_enthalpy_0k_mev_per_atom": -62.6, "lattice_angstrom": [[-7.7363, -0.4712, 5.2567], [0.2180, -9.3482, -0.5173], [2.8536, -0.1650, 4.1849]], "species": ["Ni", "Ni", "Ni", "Ta", "Ni", "Ni", "Ni", "Ta", "Ta", "Ni", "Ta", "Ta", "Ta", "Ta", "Ta", "Ni", "Ni", "Ta", "Ni", "Ni", "Ta", "Ta", "Ta", "Ni", "Ni", "Ta", "Ta", "Ta", "Ni", "Ta"], "fractional_positions": [[0.0724, 0.7441, 0.0000], [0.2441, 0.4276, 0.5000], [0.4276, 0.2441, 0.5000], [0.8605, 0.5402, 0.0000], [0.5724, 0.7559, 0.5000], [0.9276, 0.2559, 0.0000], [0.7441, 0.0724, 0.0000], [0.0402, 0.6395, 0.5000], [0.1755, 0.1755, 0.7495], [0.2559, 0.9276, 0.0000], [0.3245, 0.6755, 0.2495], [0.5402, 0.8605, 0.0000], [0.3245, 0.6755, 0.7505], [0.4598, 0.1395, 0.0000], [0.1755, 0.1755, 0.2505], [0.5000, 0.5000, 0.5000], [0.9039, 0.0961, 0.5000], [0.9598, 0.3605, 0.5000], [0.5961, 0.5961, 0.0000], [0.7559, 0.5724, 0.5000], [0.1395, 0.4598, 0.0000], [0.8245, 0.8245, 0.7495], [0.8245, 0.8245, 0.2505], [0.0000, 0.0000, 0.0000], [0.0961, 0.9039, 0.5000], [0.3605, 0.9598, 0.5000], [0.6755, 0.3245, 0.7505], [0.6395, 0.0402, 0.5000], [0.4039, 0.4039, 0.0000], [0.6755, 0.3245, 0.2495]]}

Record 3
{"formula": "Ta6Ni7", "functional": "PBE", "state": "relaxed", "rho_g_cm3": 13.85, "formation_enthalpy_0k_mev_per_atom": -263.0, "lattice_angstrom": [[2.4251, 1.4001, 8.8049], [-2.4251, 1.4001, 8.8049], [0.0000, -2.8003, 8.8049]], "species": ["Ni", "Ta", "Ni", "Ni", "Ni", "Ta", "Ni", "Ta", "Ni", "Ni", "Ta", "Ta", "Ta"], "fractional_positions": [[0.5911, 0.0908, 0.0908], [0.4505, 0.4505, 0.4505], [0.4089, 0.9092, 0.9092], [0.0000, 0.0000, 0.0000], [0.0908, 0.5911, 0.0908], [0.1686, 0.1686, 0.1686], [0.0908, 0.0908, 0.5911], [0.6561, 0.6561, 0.6561], [0.9092, 0.9092, 0.4089], [0.9092, 0.4089, 0.9092], [0.3439, 0.3439, 0.3439], [0.5495, 0.5495, 0.5495], [0.8314, 0.8314, 0.8314]]}

Record 4
{"formula": "Ta7Ni5", "functional": "PBE", "state": "relaxed", "rho_g_cm3": 13.34, "formation_enthalpy_0k_mev_per_atom": 243.4, "lattice_angstrom": [[5.2290, 0.0000, 0.0000], [-2.6145, 4.5285, 0.0000], [0.0000, 0.0000, 16.4008]], "species": ["Ta", "Ni", "Ni", "Ta", "Ta", "Ni", "Ni", "Ta", "Ta", "Ni", "Ni", "Ta", "Ni", "Ta", "Ta", "Ni", "Ni", "Ta", "Ta", "Ni", "Ta", "Ta", "Ta", "Ta"], "fractional_positions": [[0.0000, 0.5000, 0.0000], [0.3333, 0.6667, 0.6492], [0.3333, 0.6667, 0.8508], [0.5000, 0.0000, 0.0000], [0.0000, 0.0000, 0.8999], [0.8523, 0.1477, 0.7500], [0.2954, 0.1477, 0.7500], [0.5000, 0.5000, 0.5000], [0.0000, 0.5000, 0.5000], [0.1477, 0.2954, 0.2500], [0.8523, 0.7046, 0.7500], [0.3333, 0.6667, 0.3568], [0.6667, 0.3333, 0.3508], [0.0000, 0.0000, 0.1001], [0.3333, 0.6667, 0.1432], [0.1477, 0.8523, 0.2500], [0.6667, 0.3333, 0.1492], [0.0000, 0.0000, 0.6001], [0.6667, 0.3333, 0.8568], [0.7046, 0.8523, 0.2500], [0.0000, 0.0000, 0.3999], [0.5000, 0.5000, 0.0000], [0.6667, 0.3333, 0.6432], [0.5000, 0.0000, 0.5000]]}

Record 5
{"formula": "Ta5Ni", "functional": "PBE", "state": "relaxed", "rho_g_cm3": 14.57, "formation_enthalpy_0k_mev_per_atom": 467.0, "lattice_angstrom": [[-3.4418, -3.2811, 2.5746], [1.9298, -1.3810, -4.8589], [13.3553, -8.0513, 7.5927]], "species": ["Ni", "Ni", "Ta", "Ta", "Ta", "Ta", "Ta", "Ta", "Ta", "Ta", "Ta", "Ta", "Ta", "Ta", "Ta", "Ta", "Ta", "Ta", "Ta", "Ni", "Ni", "Ta", "Ta", "Ta"], "fractional_positions": [[0.6667, 0.3333, 0.3448], [0.3333, 0.6667, 0.8448], [0.3333, 0.6667, 0.1252], [0.0000, 0.0000, 0.9060], [0.6757, 0.8379, 0.2500], [0.5000, 0.0000, 0.5000], [0.3333, 0.6667, 0.3748], [0.6667, 0.3333, 0.6252], [0.0000, 0.5000, 0.0000], [0.5000, 0.5000, 0.0000], [0.3243, 0.1621, 0.7500], [0.1621, 0.3243, 0.2500], [0.0000, 0.0000, 0.0940], [0.5000, 0.0000, 0.0000], [0.8379, 0.6757, 0.7500], [0.8379, 0.1621, 0.7500], [0.0000, 0.0000, 0.5940], [0.1621, 0.8379, 0.2500], [0.0000, 0.0000, 0.4060], [0.3333, 0.6667, 0.6552], [0.6667, 0.3333, 0.1552], [0.5000, 0.5000, 0.5000], [0.0000, 0.5000, 0.5000], [0.6667, 0.3333, 0.8748]]}

Record 6
{"formula": "Ta10Ni3", "functional": "PBE", "state": "relaxed", "rho_g_cm3": 14.67, "formation_enthalpy_0k_mev_per_atom": 213.9, "lattice_angstrom": [[3.9531, 0.8965, 8.6864], [7.5961, -1.5577, 5.6354], [7.0108, 3.7509, 5.3539]], "species": ["Ta", "Ta", "Ta", "Ta", "Ni", "Ta", "Ni", "Ta", "Ta", "Ni", "Ta", "Ta", "Ta"], "fractional_positions": [[0.4134, 0.9096, 0.9096], [0.1664, 0.1664, 0.1664], [0.6500, 0.6500, 0.6500], [0.5866, 0.0904, 0.0904], [0.5483, 0.5483, 0.5483], [0.9096, 0.9096, 0.4134], [0.4517, 0.4517, 0.4517], [0.0904, 0.5866, 0.0904], [0.0904, 0.0904, 0.5866], [0.0000, 0.0000, 0.0000], [0.3500, 0.3500, 0.3500], [0.8336, 0.8336, 0.8336], [0.9096, 0.4134, 0.9096]]}

Record 7
{"formula": "Ta6Ni7", "functional": "PBE", "state": "relaxed", "rho_g_cm3": 12.51, "formation_enthalpy_0k_mev_per_atom": 279.7, "lattice_angstrom": [[2.6308, 1.5189, 8.2855], [-2.6308, 1.5189, 8.2855], [0.0000, -3.0378, 8.2855]], "species": ["Ta", "Ta", "Ni", "Ta", "Ta", "Ni", "Ni", "Ta", "Ta", "Ni", "Ni", "Ni", "Ni"], "fractional_positions": [[0.9102, 0.9102, 0.4156], [0.4156, 0.9102, 0.9102], [0.4548, 0.4548, 0.4548], [0.5844, 0.0898, 0.0898], [0.9102, 0.4156, 0.9102], [0.6454, 0.6454, 0.6454], [0.5452, 0.5452, 0.5452], [0.0898, 0.5844, 0.0898], [0.0898, 0.0898, 0.5844], [0.1671, 0.1671, 0.1671], [0.0000, 0.0000, 0.0000], [0.8329, 0.8329, 0.8329], [0.3546, 0.3546, 0.3546]]}

Record 8
{"formula": "Ta3Ni", "functional": "PBE", "state": "relaxed", "rho_g_cm3": 15.09, "formation_enthalpy_0k_mev_per_atom": 115.7, "lattice_angstrom": [[5.6662, 0.0000, 0.0000], [-2.8331, 4.9071, 0.0000], [0.0000, 0.0000, 4.7626]], "species": ["Ta", "Ta", "Ta", "Ta", "Ta", "Ni", "Ta", "Ni"], "fractional_positions": [[0.6623, 0.8311, 0.2500], [0.1689, 0.3377, 0.2500], [0.8311, 0.6623, 0.7500], [0.1689, 0.8311, 0.2500], [0.3377, 0.1689, 0.7500], [0.3333, 0.6667, 0.7500], [0.8311, 0.1689, 0.7500], [0.6667, 0.3333, 0.2500]]}